Nd3Si2Pd5: optimized geometry, PBE-GGA.

Output
- Uncorrected formation energy: -592 meV/atom

Geometry as CIF:
```
data_Nd3Si2Pd5
_chemical_formula_sum 'Nd12 Si8 Pd20'
_cell_length_a 11.559
_cell_length_b 12.187
_cell_length_c 5.956
_cell_angle_alpha 90.00
_cell_angle_beta 90.00
_cell_angle_gamma 90.00
_space_group_name_H-M_alt 'I b a m'
_space_group_IT_number 72
_space_group_name_Hall '-I 2 2c'
loop_
_atom_site_label
_atom_site_type_symbol
_atom_site_fract_x
_atom_site_fract_y
_atom_site_fract_z
Nd1 Nd 0.000 0.000 0.250
Nd2 Nd 0.211 0.386 0.000
Si1 Si 0.152 0.147 0.000
Pd1 Pd 0.000 0.238 0.250
Pd2 Pd 0.000 0.500 0.250
Pd3 Pd 0.148 0.365 0.500
```

---

SrEr2Ir9: optimized geometry, PBE-GGA.

Output
- E_form: -459 meV/atom

Geometry as CIF:
```
data_SrEr2Ir9
_chemical_formula_sum 'Sr3 Er6 Ir27'
_cell_length_a 5.3541
_cell_length_b 5.3541
_cell_length_c 26.1008
_cell_angle_alpha 90.00
_cell_angle_beta 90.00
_cell_angle_gamma 120.00
_space_group_name_H-M_alt 'R -3 m'
_space_group_IT_number 166
_space_group_name_Hall '-R 3 2"'
loop_
_atom_site_label
_atom_site_type_symbol
_atom_site_fract_x
_atom_site_fract_y
_atom_site_fract_z
Sr1 Sr 0.0000 0.0000 0.0000
Er1 Er 0.0000 0.0000 0.1390
Ir1 Ir 0.0000 0.0000 0.3330
Ir2 Ir 0.0000 0.0000 0.5000
Ir3 Ir 0.9996 0.4998 0.0831
```

---

MgMnZn2Cr: optimized geometry, PBE-GGA.

Output
- E_form: 1220 meV/atom

Geometry as CIF:
```
data_MgMnZn2Cr
_chemical_formula_sum 'Mg1 Mn1 Zn2 Cr1'
_cell_length_a 4.761
_cell_length_b 4.761
_cell_length_c 4.826
_cell_angle_alpha 90.00
_cell_angle_beta 90.00
_cell_angle_gamma 90.00
_space_group_name_H-M_alt 'P 4/m m m'
_space_group_IT_number 123
_space_group_name_Hall '-P 4 2'
loop_
_atom_site_label
_atom_site_type_symbol
_atom_site_fract_x
_atom_site_fract_y
_atom_site_fract_z
Mg1 Mg 0.000 0.000 0.000
Mn1 Mn 0.000 0.000 0.500
Zn1 Zn 0.000 0.500 0.000
Cr1 Cr 0.500 0.500 0.500
```

---

CuSi2Pt: optimized geometry, PBE-GGA.

Output
- Uncorrected formation energy: -8 meV/atom
- Energy above the lowest structure with this stoichiometry: 21.3 kJ/mol of atoms

Geometry as CIF:
```
data_CuSi2Pt
_chemical_formula_sum 'Cu1 Si2 Pt1'
_cell_length_a 2.785
_cell_length_b 2.785
_cell_length_c 7.211
_cell_angle_alpha 90.00
_cell_angle_beta 90.00
_cell_angle_gamma 90.00
_space_group_name_H-M_alt 'P 4 m m'
_space_group_IT_number 99
loop_
_space_group_symop_operation_xyz
'x,y,z'
'-y,x,z'
'-x,-y,z'
'y,-x,z'
'-x,y,z'
'y,x,z'
'x,-y,z'
'-y,-x,z'
loop_
_atom_site_label
_atom_site_type_symbol
_atom_site_fract_x
_atom_site_fract_y
_atom_site_fract_z
Cu1 Cu 0.000 0.000 0.000
Si1 Si 0.000 0.000 0.506
Si2 Si 0.500 0.500 0.771
Pt1 Pt 0.500 0.500 0.276
```

---

What did the fourth record say?
CuSi2Pt: optimized geometry, PBE-GGA.

Output
- Uncorrected formation energy: -8 meV/atom
- Energy above the lowest structure with this stoichiometry: 21.3 kJ/mol of atoms

Geometry as CIF:
```
data_CuSi2Pt
_chemical_formula_sum 'Cu1 Si2 Pt1'
_cell_length_a 2.785
_cell_length_b 2.785
_cell_length_c 7.211
_cell_angle_alpha 90.00
_cell_angle_beta 90.00
_cell_angle_gamma 90.00
_space_group_name_H-M_alt 'P 4 m m'
_space_group_IT_number 99
loop_
_space_group_symop_operation_xyz
'x,y,z'
'-y,x,z'
'-x,-y,z'
'y,-x,z'
'-x,y,z'
'y,x,z'
'x,-y,z'
'-y,-x,z'
loop_
_atom_site_label
_atom_site_type_symbol
_atom_site_fract_x
_atom_site_fract_y
_atom_site_fract_z
Cu1 Cu 0.000 0.000 0.000
Si1 Si 0.000 0.000 0.506
Si2 Si 0.500 0.500 0.771
Pt1 Pt 0.500 0.500 0.276
```